Entry 1:
VASP calculation (PBE-GGA) on a geometry-optimized Gd3SOF5 structure.

Values from the calculation:
The electronic total energy is -9.7419 eV per atom. As for the symmetry: Pm (6). The calculation puts the total magnetization at 1.398 μB per atom. For the uncorrected formation energy, the calculation gives -3673 meV/atom. The calculation puts the calculated volume at 14.9 A^3/atom.

abc: 3.7455 9.5405 9.6018
angles: 60.54 90.00 90.00
Each line ends with the local moment (μB).
Positions (direct):
Gd 0.0000 0.4185 0.8650  -6.93
Gd 0.0000 0.8670 0.7285  6.93
Gd 0.0000 0.7002 0.4165  6.93
Gd 0.5000 0.5954 0.1032  6.93
Gd 0.5000 0.1230 0.2858  6.93
Gd 0.5000 0.2961 0.5962  6.93
S 0.0000 0.3292 0.3320  -0.02
S 0.5000 0.6722 0.6627  0.00
O 0.0000 0.4366 0.6125  0.01
O 0.0000 0.6174 0.9472  0.01
F 0.0000 0.1582 0.1208  0.00
F 0.0000 0.1135 0.7247  0.00
F 0.0000 0.7235 0.1633  0.00
F 0.5000 0.8549 0.8818  0.00
F 0.5000 0.8781 0.2861  0.00
F 0.5000 0.2727 0.8495  0.00
F 0.0000 0.9521 0.4349  0.00
F 0.5000 0.5683 0.3752  0.00
F 0.5000 0.3781 0.0470  0.00
F 0.5000 0.0450 0.5671  0.00


Entry 2:
VASP calculation (PBE-GGA) on a geometry-optimized YBiPt5 structure.

Values from the calculation:
The electronic total energy is -6.3015 eV per atom. As for the symmetry: Pnma (62). The calculation puts the total magnetization at 0.000 μB per atom. The calculation puts the calculated volume at 19.5 A^3/atom. The value obtained for the formation energy from the elements is -0.509 eV/atom.

abc: 5.5238 8.9217 11.0785
angles: 90.00 90.00 90.00
Positions (direct):
Y 0.2500 0.2640 0.9554
Y 0.7500 0.2360 0.4554
Y 0.2500 0.7640 0.5446
Y 0.7500 0.7360 0.0446
Bi 0.2500 0.8681 0.8529
Bi 0.7500 0.6319 0.3529
Bi 0.2500 0.3681 0.6471
Bi 0.7500 0.1319 0.1471
Pt 0.2500 0.5944 0.0270
Pt 0.7500 0.9056 0.5270
Pt 0.2500 0.0944 0.4730
Pt 0.7500 0.4056 0.9730
Pt 0.7500 0.3369 0.7291
Pt 0.2500 0.1631 0.2291
Pt 0.7500 0.8369 0.7709
Pt 0.2500 0.6631 0.2709
Pt 0.2500 0.9066 0.0933
Pt 0.7500 0.5934 0.5933
Pt 0.2500 0.4066 0.4067
Pt 0.7500 0.0934 0.9067
Pt 0.9967 0.4180 0.1862
Pt 0.0033 0.0820 0.6862
Pt 0.5033 0.9180 0.3138
Pt 0.4967 0.5820 0.8138
Pt 0.0033 0.5820 0.8138
Pt 0.9967 0.9180 0.3138
Pt 0.4967 0.0820 0.6862
Pt 0.5033 0.4180 0.1862


Entry 3:
VASP calculation (PBE-GGA) on a geometry-optimized V3FeH4 structure.

Values from the calculation:
The electronic total energy is -6.1857 eV per atom. As for the symmetry: Pmn2_1 (31). The calculation puts the total magnetization at 0.212 μB per atom. The calculation puts the calculated volume at 7.9 A^3/atom.

abc: 4.6378 5.0936 5.3657
angles: 90.00 90.00 90.00
Each line ends with the local moment (μB).
Positions (direct):
V 0.4935 0.8660 0.0000  0.27
V 0.0025 0.6501 0.2369  0.05
V 0.5025 0.3499 0.2630  0.05
V 0.9935 0.1340 0.5000  0.27
V 0.5025 0.3499 0.7370  0.05
V 0.0025 0.6501 0.7631  0.05
Fe 0.0016 0.1740 0.0000  1.34
Fe 0.5016 0.8260 0.5000  1.34
H 0.1140 0.8686 0.0000  0.00
H 0.6501 0.1813 0.0000  0.00
H 0.1256 0.3224 0.2501  0.00
H 0.6256 0.6776 0.2500  0.00
H 0.1501 0.8187 0.5000  0.00
H 0.6140 0.1314 0.5000  0.00
H 0.6256 0.6776 0.7500  0.00
H 0.1256 0.3224 0.7499  0.00


Entry 4:
VASP calculation (PBE-GGA) on a geometry-optimized Al3Re structure.

Values from the calculation:
The electronic total energy is -6.1127 eV per atom. As for the symmetry: Immm (71). The calculation puts the total magnetization at 0.000 μB per atom. The calculation puts the calculated volume at 14.6 A^3/atom. The value obtained for the formation energy from the elements is -0.194 eV/atom.

abc: 3.3775 4.1988 4.9303
angles: 115.20 110.03 90.00
Positions (direct):
Re 0.0000 0.9162 0.0000
Al 0.2525 0.6697 0.5051
Al 0.5000 0.4163 0.0000
Al 0.7475 0.1646 0.4949


Entry 5:
VASP calculation (PBE-GGA) on a geometry-optimized Sc2GaHgGe structure.

Values from the calculation:
The electronic total energy is -3.9283 eV per atom. As for the symmetry: P4/mmm (123). The calculation puts the total magnetization at 0.000 μB per atom. The calculation puts the calculated volume at 25.2 A^3/atom. The value obtained for the formation energy from the elements is 0.194 eV/atom.

abc: 5.0921 4.8508 5.0921
angles: 90.00 90.00 90.00
Positions (direct):
Sc 0.0000 0.0000 0.5000
Sc 0.5000 0.0000 0.0000
Ge 0.5000 0.5000 0.5000
Hg 0.0000 0.5000 0.0000
Ga 0.0000 0.0000 0.0000


Entry 6:
VASP calculation (PBE-GGA) on a geometry-optimized TcW2Br structure.

Values from the calculation:
The electronic total energy is -8.1908 eV per atom. As for the symmetry: I-4m2 (119). The calculation puts the total magnetization at 0.000 μB per atom. For the uncorrected formation energy, the calculation gives 1295 meV/atom. The calculation puts the calculated volume at 16.3 A^3/atom.

abc: 5.1217 5.1217 5.1217
angles: 135.36 135.36 64.97
Positions (direct):
Br 0.5000 0.5000 0.0000
Tc 0.7500 0.2500 0.5000
W 0.0000 0.0000 0.0000
W 0.2500 0.7500 0.5000


Entry 7:
VASP calculation (PBE-GGA) on a geometry-optimized Cs4Ac3GeO8 structure.

Values from the calculation:
The electronic total energy is -5.8207 eV per atom. As for the symmetry: C2/m (12). The calculation puts the total magnetization at 0.000 μB per atom. For the uncorrected formation energy, the calculation gives -2069 meV/atom. The calculation puts the calculated volume at 22.5 A^3/atom.

abc: 7.4313 8.1122 7.7976
angles: 115.55 118.46 90.00
Positions (direct):
Cs 0.5000 0.0000 0.0000
Cs 0.5000 0.0000 0.5000
Cs 0.0000 0.0000 0.0000
Cs 0.0000 0.0000 0.5000
Ac 0.5000 0.5000 0.0000
Ac 0.5000 0.5000 0.5000
Ac 0.0000 0.5000 0.5000
Ge 0.0000 0.5000 0.0000
O 0.1746 0.6445 0.9410
O 0.2732 0.7162 0.5465
O 0.2893 0.3270 0.5786
O 0.7664 0.6445 0.9410
O 0.2336 0.3555 0.0590
O 0.7107 0.6730 0.4214
O 0.7268 0.2838 0.4535
O 0.8254 0.3555 0.0590


Entry 8:
VASP calculation (PBE-GGA) on a geometry-optimized La7Y12Tl structure.

Values from the calculation:
The electronic total energy is -5.5784 eV per atom. As for the symmetry: R-3 (148). The calculation puts the total magnetization at 0.000 μB per atom. The calculation puts the calculated volume at 34.7 A^3/atom. The value obtained for the formation energy from the elements is 0.143 eV/atom.

abc: 8.8565 8.8565 8.8565
angles: 89.66 89.66 89.66
Positions (direct):
La 0.2161 0.6043 0.7658
La 0.3957 0.2342 0.7839
La 0.2342 0.7839 0.3957
La 0.5000 0.5000 0.5000
La 0.7658 0.2161 0.6043
La 0.6043 0.7658 0.2161
La 0.7839 0.3957 0.2342
Y 0.0006 0.3309 0.8926
Y 0.6691 0.1074 0.9994
Y 0.4545 0.1202 0.3403
Y 0.8798 0.6597 0.5455
Y 0.1074 0.9994 0.6691
Y 0.6597 0.5455 0.8798
Y 0.3403 0.4545 0.1202
Y 0.8926 0.0006 0.3309
Y 0.1202 0.3403 0.4545
Y 0.5455 0.8798 0.6597
Y 0.3309 0.8926 0.0006
Y 0.9994 0.6691 0.1074
Tl 0.0000 0.0000 0.0000


Entry 9:
VASP calculation (PBE-GGA) on a geometry-optimized Ho8Ni3Bi2 structure.

Values from the calculation:
The electronic total energy is -5.0774 eV per atom. As for the symmetry: C2/m (12). The calculation puts the total magnetization at 0.000 μB per atom. The calculation puts the calculated volume at 28.8 A^3/atom. The value obtained for the formation energy from the elements is -0.329 eV/atom.

abc: 6.5653 7.2603 8.8233
angles: 114.29 100.88 90.00
Positions (direct):
Ho 0.8545 0.5726 0.1453
Ho 0.1455 0.4274 0.8547
Ho 0.8614 0.1228 0.2456
Ho 0.1386 0.8772 0.7544
Ho 0.6352 0.6536 0.7967
Ho 0.6352 0.1431 0.7967
Ho 0.3648 0.8569 0.2033
Ho 0.3648 0.3464 0.2033
Ni 0.5000 0.0000 0.0000
Ni 0.0000 0.1865 0.0000
Ni 0.0000 0.8135 0.0000
Bi 0.3124 0.2620 0.5240
Bi 0.6876 0.7380 0.4760


What is the total magnetization in the fourth record?
0.000 μB per atom